[1]
Density functional theory data (PBE-GGA) for a relaxed structure of NaCrInP2.

CIF file:
```
data_NaCrInP2
_chemical_formula_sum 'Na1 Cr1 In1 P2'
_cell_length_a 5.023
_cell_length_b 5.023
_cell_length_c 5.013
_cell_angle_alpha 90.00
_cell_angle_beta 90.00
_cell_angle_gamma 90.00
_symmetry_space_group_name_H-M 'P 4/m m m'
_symmetry_Int_Tables_number 123
_symmetry_space_group_name_Hall '-P 4 2'
loop_
_atom_site_label
_atom_site_fract_x
_atom_site_fract_y
_atom_site_fract_z
_atom_site_occupancy
Na1 0.000 0.000 0.000 1
Cr1 0.500 0.500 0.000 1
In1 0.000 0.000 0.500 1
P1 0.000 0.500 0.500 1
```

D(E_F)   2.950 states/eV per cell
Energy of formation   1.0812 eV per atom


[2]
Density functional theory data (PBE-GGA) for a relaxed structure of NaCr2InRh.

CIF file:
```
data_NaCr2InRh
_chemical_formula_sum 'Na1 Cr2 In1 Rh1'
_cell_length_a 4.924
_cell_length_b 4.924
_cell_length_c 4.977
_cell_angle_alpha 90.00
_cell_angle_beta 90.00
_cell_angle_gamma 90.00
_symmetry_space_group_name_H-M 'P 4/m m m'
_symmetry_Int_Tables_number 123
_symmetry_space_group_name_Hall '-P 4 2'
loop_
_atom_site_label
_atom_site_fract_x
_atom_site_fract_y
_atom_site_fract_z
_atom_site_occupancy
Na1 0.000 0.000 0.000 1
Cr1 0.000 0.500 0.500 1
In1 0.500 0.500 0.500 1
Rh1 0.500 0.500 0.000 1
```

D(E_F)   8.334 states/eV per cell
Energy of formation   1.8633 eV per atom


[3]
Density functional theory data (PBE-GGA) for a relaxed structure of Na3Cr2InS6.

CIF file:
```
data_Na3Cr2InS6
_chemical_formula_sum 'Na6 Cr4 In2 S12'
_cell_length_a 6.377
_cell_length_b 11.047
_cell_length_c 6.897
_cell_angle_alpha 90.00
_cell_angle_beta 108.08
_cell_angle_gamma 90.00
_symmetry_space_group_name_H-M 'C 1 2/m 1'
_symmetry_Int_Tables_number 12
_symmetry_space_group_name_Hall '-C 2y'
loop_
_atom_site_label
_atom_site_fract_x
_atom_site_fract_y
_atom_site_fract_z
_atom_site_occupancy
Na1 0.000 0.000 0.000 1
Na2 0.000 0.338 0.000 1
Cr1 0.000 0.167 0.500 1
In1 0.000 0.500 0.500 1
S1 0.213 0.000 0.705 1
S2 0.246 0.322 0.704 1
```

Energy relative to the elements, uncorrected   -0.90 eV per atom


[4]
Density functional theory data (PBE-GGA) for a relaxed structure of Na2CrInS4.

CIF file:
```
data_Na2CrInS4
_chemical_formula_sum 'Na2 Cr1 In1 S4'
_cell_length_a 6.478
_cell_length_b 3.723
_cell_length_c 6.934
_cell_angle_alpha 90.00
_cell_angle_beta 108.15
_cell_angle_gamma 90.00
_symmetry_space_group_name_H-M 'P 1 2/m 1'
_symmetry_Int_Tables_number 10
_symmetry_space_group_name_Hall '-P 2y'
loop_
_atom_site_label
_atom_site_fract_x
_atom_site_fract_y
_atom_site_fract_z
_atom_site_occupancy
Na1 0.000 0.000 0.000 1
Na2 0.500 0.500 0.000 1
Cr1 0.000 0.500 0.500 1
In1 0.500 0.000 0.500 1
S1 0.216 0.000 0.703 1
S2 0.243 0.500 0.287 1
```

Energy relative to the elements, uncorrected   -0.88 eV per atom


[5]
Density functional theory data (PBE-GGA) for a relaxed structure of Na2Cr2InSe6.

CIF file:
```
data_Na2Cr2InSe6
_chemical_formula_sum 'Na4 Cr4 In2 Se12'
_cell_length_a 6.451
_cell_length_b 11.436
_cell_length_c 7.433
_cell_angle_alpha 90.00
_cell_angle_beta 106.15
_cell_angle_gamma 90.00
_symmetry_space_group_name_H-M 'C 1 2/m 1'
_symmetry_Int_Tables_number 12
_symmetry_space_group_name_Hall '-C 2y'
loop_
_atom_site_label
_atom_site_fract_x
_atom_site_fract_y
_atom_site_fract_z
_atom_site_occupancy
Na1 0.000 0.159 0.000 1
Cr1 0.000 0.334 0.500 1
In1 0.000 0.000 0.500 1
Se1 0.204 0.500 0.706 1
Se2 0.244 0.182 0.704 1
```

D(E_F)   11.876 states/eV per cell
Energy relative to the elements, uncorrected   -0.68 eV per atom


[6]
Density functional theory data (PBE-GGA) for a relaxed structure of Na3CrIn3Se8.

CIF file:
```
data_Na3CrIn3Se8
_chemical_formula_sum 'Na9 Cr3 In9 Se24'
_cell_length_a 7.8251
_cell_length_b 7.8251
_cell_length_c 21.7747
_cell_angle_alpha 90.00
_cell_angle_beta 90.00
_cell_angle_gamma 120.00
_symmetry_space_group_name_H-M 'R -3 m'
_symmetry_Int_Tables_number 166
_symmetry_space_group_name_Hall '-R 3 2"'
loop_
_atom_site_label
_atom_site_fract_x
_atom_site_fract_y
_atom_site_fract_z
_atom_site_occupancy
Na1 0.0000 0.5000 0.0000 1
Cr1 0.0000 0.0000 0.5000 1
In1 0.0000 0.5000 0.5000 1
Se1 0.0000 0.0000 0.2413 1
Se2 0.0249 0.5124 0.2354 1
```

D(E_F)   37.730 states/eV per cell
Energy relative to the elements, uncorrected   -0.69 eV per atom


[7]
Density functional theory data (PBE-GGA) for a relaxed structure of NaCrInTc2.

CIF file:
```
data_NaCrInTc2
_chemical_formula_sum 'Na1 Cr1 In1 Tc2'
_cell_length_a 4.929
_cell_length_b 4.929
_cell_length_c 4.734
_cell_angle_alpha 90.00
_cell_angle_beta 90.00
_cell_angle_gamma 90.00
_symmetry_space_group_name_H-M 'P 4/m m m'
_symmetry_Int_Tables_number 123
_symmetry_space_group_name_Hall '-P 4 2'
loop_
_atom_site_label
_atom_site_fract_x
_atom_site_fract_y
_atom_site_fract_z
_atom_site_occupancy
Na1 0.000 0.000 0.000 1
Cr1 0.500 0.500 0.000 1
In1 0.000 0.000 0.500 1
Tc1 0.000 0.500 0.500 1
```

D(E_F)   11.256 states/eV per cell
Energy of formation   2.4264 eV per atom


[8]
Density functional theory data (PBE-GGA) for a relaxed structure of NaCr2InW.

CIF file:
```
data_NaCr2InW
_chemical_formula_sum 'Na1 Cr2 In1 W1'
_cell_length_a 4.376
_cell_length_b 4.376
_cell_length_c 4.658
_cell_angle_alpha 90.00
_cell_angle_beta 90.00
_cell_angle_gamma 90.00
_symmetry_space_group_name_H-M 'P 4/m m m'
_symmetry_Int_Tables_number 123
_symmetry_space_group_name_Hall '-P 4 2'
loop_
_atom_site_label
_atom_site_fract_x
_atom_site_fract_y
_atom_site_fract_z
_atom_site_occupancy
Na1 0.000 0.000 0.000 1
Cr1 0.000 0.500 0.000 1
In1 0.500 0.500 0.500 1
W1 0.000 0.000 0.500 1
```

D(E_F)   8.271 states/eV per cell
Energy of formation   2.5314 eV per atom


[9]
Density functional theory data (PBE-GGA) for a relaxed structure of NaZn2CrIn.

CIF file:
```
data_NaZn2CrIn
_chemical_formula_sum 'Na1 Zn2 Cr1 In1'
_cell_length_a 5.055
_cell_length_b 5.055
_cell_length_c 5.234
_cell_angle_alpha 90.00
_cell_angle_beta 90.00
_cell_angle_gamma 90.00
_symmetry_space_group_name_H-M 'P 4/m m m'
_symmetry_Int_Tables_number 123
_symmetry_space_group_name_Hall '-P 4 2'
loop_
_atom_site_label
_atom_site_fract_x
_atom_site_fract_y
_atom_site_fract_z
_atom_site_occupancy
Na1 0.000 0.000 0.000 1
Zn1 0.000 0.500 0.000 1
Cr1 0.000 0.000 0.500 1
In1 0.500 0.500 0.500 1
```

D(E_F)   2.323 states/eV per cell
Energy of formation   0.9917 eV per atom


[10]
Density functional theory data (PBE-GGA) for a relaxed structure of Nb2Cr2In.

CIF file:
```
data_Nb2Cr2In
_chemical_formula_sum 'Nb4 Cr4 In2'
_cell_length_a 7.150
_cell_length_b 7.150
_cell_length_c 3.240
_cell_angle_alpha 90.00
_cell_angle_beta 90.00
_cell_angle_gamma 90.00
_symmetry_space_group_name_H-M 'P 4/m b m'
_symmetry_Int_Tables_number 127
_symmetry_space_group_name_Hall '-P 4 2ab'
loop_
_atom_site_label
_atom_site_fract_x
_atom_site_fract_y
_atom_site_fract_z
_atom_site_occupancy
Nb1 0.193 0.307 0.000 1
Cr1 0.101 0.601 0.500 1
In1 0.000 0.000 0.500 1
```

D(E_F)   10.544 states/eV per cell
Energy of formation   0.2072 eV per atom


[11]
Density functional theory data (PBE-GGA) for a relaxed structure of NbCrIn.

CIF file:
```
data_NbCrIn
_chemical_formula_sum 'Nb16 Cr16 In16'
_cell_length_a 5.430
_cell_length_b 9.225
_cell_length_c 17.022
_cell_angle_alpha 90.00
_cell_angle_beta 90.00
_cell_angle_gamma 90.00
_symmetry_space_group_name_H-M 'F d d d'
_symmetry_Int_Tables_number 70
loop_
_symmetry_equiv_pos_as_xyz
'x,y,z'
'-x,-y,-z'
'-x+1/4,-y+1/4,z'
'x+1/4,y+1/4,-z'
'x,-y+1/4,-z+1/4'
'-x,y+1/4,z+1/4'
'-x+1/4,y,-z+1/4'
'x+1/4,-y,z+1/4'
'x,y+1/2,z+1/2'
'-x,-y+1/2,-z+1/2'
'-x+1/4,-y+3/4,z+1/2'
'x+1/4,y+3/4,-z+1/2'
'x,-y+3/4,-z+3/4'
'-x,y+3/4,z+3/4'
'-x+1/4,y+1/2,-z+3/4'
'x+1/4,-y+1/2,z+3/4'
'x+1/2,y,z+1/2'
'-x+1/2,-y,-z+1/2'
'-x+3/4,-y+1/4,z+1/2'
'x+3/4,y+1/4,-z+1/2'
'x+1/2,-y+1/4,-z+3/4'
'-x+1/2,y+1/4,z+3/4'
'-x+3/4,y,-z+3/4'
'x+3/4,-y,z+3/4'
'x+1/2,y+1/2,z'
'-x+1/2,-y+1/2,-z'
'-x+3/4,-y+3/4,z'
'x+3/4,y+3/4,-z'
'x+1/2,-y+3/4,-z+1/4'
'-x+1/2,y+3/4,z+1/4'
'-x+3/4,y+1/2,-z+1/4'
'x+3/4,-y+1/2,z+1/4'
loop_
_atom_site_label
_atom_site_fract_x
_atom_site_fract_y
_atom_site_fract_z
_atom_site_occupancy
Nb1 0.125 0.290 0.125 1
Cr1 0.125 0.125 0.003 1
In1 0.125 0.125 0.540 1
```

D(E_F)   57.044 states/eV per cell
Energy of formation   0.3764 eV per atom


[12]
Density functional theory data (PBE-GGA) for a relaxed structure of Nb2CrIn.

CIF file:
```
data_Nb2CrIn
_chemical_formula_sum 'Nb6 Cr3 In3'
_cell_length_a 3.0909
_cell_length_b 3.0909
_cell_length_c 26.1960
_cell_angle_alpha 90.00
_cell_angle_beta 90.00
_cell_angle_gamma 120.00
_symmetry_space_group_name_H-M 'R -3 m'
_symmetry_Int_Tables_number 166
_symmetry_space_group_name_Hall '-R 3 2"'
loop_
_atom_site_label
_atom_site_fract_x
_atom_site_fract_y
_atom_site_fract_z
_atom_site_occupancy
Nb1 0.0000 0.0000 0.2376 1
Cr1 0.0000 0.0000 0.5000 1
In1 0.0000 0.0000 0.0000 1
```

D(E_F)   8.767 states/eV per cell
Energy of formation   0.2640 eV per atom